Computed, not measured: VIrCF2 after structural relaxation at the PBE+U level of DFT.

Cell and atoms, written as extended XYZ:
```
5
Lattice="3.644 0.000 0.000 0.000 4.539 0.000 0.000 0.000 3.644" Properties=species:S:1:pos:R:3 pbc="T T T"
F 0.000 0.000 1.822
F 1.822 0.000 0.000
Ir 1.822 2.270 1.822
C 0.000 2.270 0.000
V 0.000 0.000 0.000
```

## Properties
The space-group type is P4/mmm (123). For the uncorrected energy, the calculation gives -27.16 eV per cell. The density of states at the Fermi level comes out at 2.018 states/eV/atom.